14
Lattice="8.608 0.000 0.000 0.000 8.608 0.000 0.000 0.000 4.390" Properties=species:S:1:pos:R:3 comment="CeCd4Au2, relaxed, DFT PBE" dos_ef_per_ev_atom=1.331 delta_e_f_mev_per_atom=-317.6 magmom_total_mub_per_cell=2.1 e_above_lowest_polymorph_mev_per_atom=0 pbc="T T T"
Ce 0.000 0.000 0.000
Ce 4.304 4.304 2.195
Cd 0.860 2.985 2.195
Cd 1.318 5.164 0.000
Cd 2.985 0.860 2.195
Cd 3.444 7.289 0.000
Cd 5.164 1.318 0.000
Cd 5.622 7.747 2.195
Cd 7.289 3.444 0.000
Cd 7.747 5.622 2.195
Au 1.557 7.050 2.195
Au 2.747 2.747 0.000
Au 5.861 5.861 0.000
Au 7.050 1.557 2.195

4
Lattice="1.599 0.923 10.903 -1.599 0.923 10.903 0.000 -1.847 10.903" Properties=species:S:1:pos:R:3 comment="Ce2CdAu, relaxed, DFT PBE" dos_ef_per_ev_atom=2.157 delta_e_f_mev_per_atom=-163.2 magmom_total_mub_per_cell=0.6 e_above_lowest_polymorph_mev_per_atom=198 pbc="T T T"
Ce 0.000 0.000 8.007
Ce 0.000 0.000 24.702
Cd 0.000 0.000 0.000
Au 0.000 0.000 16.355